Density functional theory data (PBE-GGA) for a relaxed structure of YTaTl2.

Cell and atoms, written as POSCAR:
```
YTaTl2
1.0
3.1906 0.0000 0.0000
0.0000 5.0856 0.0000
-0.6948 0.0000 5.9977
Y Ta Tl
1 1 2
Direct
0.0000 0.0000 0.0000 Y
0.5000 0.0000 0.5000 Ta
0.3405 0.5000 0.7361 Tl
0.6595 0.5000 0.2639 Tl
```

Values from the calculation:
- Total magnetization: 0.00 Bohr magnetons per cell
- Energy relative to the elements: 0.287 eV per atom
- Final energy: -5.475 eV per atom
- Symmetry: No. 10